1.
A geometry-optimized Pm6Bi3TeSe2 structure, computed with PBE-GGA.

Computed properties:
Total energy (eV/cell): -131.79
Volume (Å³/atom): 30.9
Formation energy (no corrections) (meV per atom): -1303.0

```
data_Pm6Bi3TeSe2
_chemical_formula_sum 'Pm12 Bi6 Te2 Se4'
_cell_length_a 19.361
_cell_length_b 4.438
_cell_length_c 8.871
_cell_angle_alpha 90.00
_cell_angle_beta 103.20
_cell_angle_gamma 90.00
_space_group_name_H-M_alt 'C 1 2/m 1'
_space_group_IT_number 12
_space_group_name_Hall '-C 2y'
loop_
_atom_site_label
_atom_site_type_symbol
_atom_site_fract_x
_atom_site_fract_y
_atom_site_fract_z
Pm1 Pm 0.008 0.000 0.256
Pm2 Pm 0.171 0.500 0.099
Pm3 Pm 0.172 0.500 0.573
Bi1 Bi 0.000 0.500 0.500
Bi2 Bi 0.162 0.000 0.832
Te1 Te 0.000 0.500 0.000
Se1 Se 0.168 0.000 0.334
```


2.
A geometry-optimized Pm4BiTeSe2 structure, computed with PBE-GGA.

Computed properties:
Total energy (eV/cell): -45.03
Volume (Å³/atom): 29.4
Formation energy (no corrections) (meV per atom): -1504.8

```
data_Pm4BiTeSe2
_chemical_formula_sum 'Pm4 Bi1 Te1 Se2'
_cell_length_a 7.505
_cell_length_b 4.337
_cell_length_c 7.635
_cell_angle_alpha 90.00
_cell_angle_beta 109.12
_cell_angle_gamma 90.00
_space_group_name_H-M_alt 'P 1 2/m 1'
_space_group_IT_number 10
_space_group_name_Hall '-P 2y'
loop_
_atom_site_label
_atom_site_type_symbol
_atom_site_fract_x
_atom_site_fract_y
_atom_site_fract_z
Pm1 Pm 0.238 0.000 0.221
Pm2 Pm 0.257 0.500 0.776
Bi1 Bi 0.000 0.000 0.500
Te1 Te 0.500 0.500 0.500
Se1 Se 0.000 0.500 0.000
Se2 Se 0.500 0.000 0.000
```


3.
A geometry-optimized Pm6Bi2TeSe3 structure, computed with PBE-GGA.

Computed properties:
Total energy (eV/cell): -134.75
Volume (Å³/atom): 29.5
Formation energy (no corrections) (meV per atom): -1459.6

```
data_Pm6Bi2TeSe3
_chemical_formula_sum 'Pm12 Bi4 Te2 Se6'
_cell_length_a 19.120
_cell_length_b 4.353
_cell_length_c 8.778
_cell_angle_alpha 90.00
_cell_angle_beta 104.00
_cell_angle_gamma 90.00
_space_group_name_H-M_alt 'C 1 2/m 1'
_space_group_IT_number 12
_space_group_name_Hall '-C 2y'
loop_
_atom_site_label
_atom_site_type_symbol
_atom_site_fract_x
_atom_site_fract_y
_atom_site_fract_z
Pm1 Pm 0.005 0.000 0.233
Pm2 Pm 0.162 0.500 0.096
Pm3 Pm 0.173 0.500 0.572
Bi1 Bi 0.166 0.000 0.832
Te1 Te 0.000 0.500 0.500
Se1 Se 0.000 0.500 0.000
Se2 Se 0.166 0.000 0.334
```


4.
A geometry-optimized PmThBiSe structure, computed with PBE-GGA.

Computed properties:
Total energy (eV/cell): -72.82
Volume (Å³/atom): 30.2
Formation energy (no corrections) (meV per atom): -1184.5

```
data_PmThBiSe
_chemical_formula_sum 'Pm3 Th3 Bi3 Se3'
_cell_length_a 4.3194
_cell_length_b 4.3194
_cell_length_c 22.4534
_cell_angle_alpha 90.00
_cell_angle_beta 90.00
_cell_angle_gamma 120.00
_space_group_name_H-M_alt 'R 3 m'
_space_group_IT_number 160
_space_group_name_Hall 'R 3 -2"'
loop_
_atom_site_label
_atom_site_type_symbol
_atom_site_fract_x
_atom_site_fract_y
_atom_site_fract_z
Pm1 Pm 0.0000 0.0000 0.0000
Th1 Th 0.0000 0.0000 0.1887
Bi1 Bi 0.0000 0.0000 0.7615
Se1 Se 0.0000 0.0000 0.5939
```


5.
A geometry-optimized Pm3Tl4BiSe8 structure, computed with PBE-GGA.

Computed properties:
Total energy (eV/cell): -221.55
Volume (Å³/atom): 31.0
Formation energy (no corrections) (meV per atom): -1148.4

```
data_Pm3Tl4BiSe8
_chemical_formula_sum 'Pm9 Tl12 Bi3 Se24'
_cell_length_a 8.6029
_cell_length_b 8.6029
_cell_length_c 23.2080
_cell_angle_alpha 90.00
_cell_angle_beta 90.00
_cell_angle_gamma 120.00
_space_group_name_H-M_alt 'R -3 m'
_space_group_IT_number 166
_space_group_name_Hall '-R 3 2"'
loop_
_atom_site_label
_atom_site_type_symbol
_atom_site_fract_x
_atom_site_fract_y
_atom_site_fract_z
Pm1 Pm 0.0000 0.5000 0.0000
Tl1 Tl 0.0000 0.0000 0.5000
Tl2 Tl 0.0000 0.5000 0.5000
Bi1 Bi 0.0000 0.0000 0.0000
Se1 Se 0.0000 0.0000 0.2635
Se2 Se 0.0016 0.5008 0.2630
```


6.
A geometry-optimized Pm4TlBiSe2 structure, computed with PBE-GGA.

Computed properties:
Total energy (eV/cell): -41.89
Volume (Å³/atom): 29.6
Formation energy (no corrections) (meV per atom): -1208.5

```
data_Pm4TlBiSe2
_chemical_formula_sum 'Pm4 Tl1 Bi1 Se2'
_cell_length_a 7.567
_cell_length_b 4.301
_cell_length_c 7.675
_cell_angle_alpha 90.00
_cell_angle_beta 108.58
_cell_angle_gamma 90.00
_space_group_name_H-M_alt 'P 1 2/m 1'
_space_group_IT_number 10
_space_group_name_Hall '-P 2y'
loop_
_atom_site_label
_atom_site_type_symbol
_atom_site_fract_x
_atom_site_fract_y
_atom_site_fract_z
Pm1 Pm 0.242 0.000 0.234
Pm2 Pm 0.256 0.500 0.768
Tl1 Tl 0.000 0.000 0.500
Bi1 Bi 0.500 0.500 0.500
Se1 Se 0.000 0.500 0.000
Se2 Se 0.500 0.000 0.000
```